Below is crystalline Ac7TbTm2 at its relaxed geometry, with properties calculated at the PBE-GGA level. Values from VASP.

Quantum ESPRESSO input file:
```
&SYSTEM
  ibrav = 0, nat = 10, ntyp = 3
/
ATOMIC_SPECIES
Ac 227.00 Ac.upf
Tb 158.93 Tb.upf
Tm 168.93 Tm.upf
CELL_PARAMETERS angstrom
-1.1208 5.6089 -2.1225
-4.8963 2.0605 8.0304
5.0608 3.7643 7.2749
ATOMIC_POSITIONS crystal
Ac 0.0000 0.2408 0.2408
Ac 0.0000 0.7592 0.7592
Ac 0.5000 0.9384 0.3090
Ac 0.5000 0.0616 0.6910
Ac 0.5000 0.6910 0.0616
Ac 0.5000 0.3090 0.9384
Ac 0.5000 0.5000 0.5000
Tb 0.0000 0.0000 0.0000
Tm 0.5000 0.2979 0.2979
Tm 0.5000 0.7021 0.7021
```

Output
The calculation puts the uncorrected energy at -3.599 eV per atom. The space group is No. 65.


Below is crystalline SmY3Sb3 at its relaxed geometry, with properties calculated at the PBE-GGA level. Values from VASP.

Quantum ESPRESSO input file:
```
&SYSTEM
  ibrav = 0, nat = 14, ntyp = 3
/
ATOMIC_SPECIES
Sm 150.36 Sm.upf
Y 88.91 Y.upf
Sb 121.76 Sb.upf
CELL_PARAMETERS angstrom
9.0636 0.0000 0.0000
4.5318 7.8493 0.0000
4.5318 2.6164 6.1533
ATOMIC_POSITIONS crystal
Sm 0.3339 0.3339 0.9982
Sm 0.6661 0.6661 0.0018
Y 0.3491 0.8184 0.7447
Y 0.8184 0.0878 0.7447
Y 0.0878 0.3491 0.7447
Y 0.9122 0.6509 0.2553
Y 0.1816 0.9122 0.2553
Y 0.6509 0.1816 0.2553
Sb 0.2978 0.5348 0.2452
Sb 0.9222 0.2978 0.2452
Sb 0.5348 0.9222 0.2452
Sb 0.4652 0.0778 0.7548
Sb 0.0778 0.7022 0.7548
Sb 0.7022 0.4652 0.7548
```

Output
The calculation puts the uncorrected energy at -6.150 eV per atom. Its raw formation energy is -0.939 eV/atom. The space group is No. 148.


Below is crystalline KNaFe2Tc at its relaxed geometry, with properties calculated at the PBE-GGA level. Values from VASP.

Quantum ESPRESSO input file:
```
&SYSTEM
  ibrav = 0, nat = 5, ntyp = 4
/
ATOMIC_SPECIES
Na 22.99 Na.upf
K 39.10 K.upf
Tc 98.00 Tc.upf
Fe 55.84 Fe.upf
CELL_PARAMETERS angstrom
4.4215 0.0000 0.0000
0.0000 4.5022 0.0000
0.0000 0.0000 4.4215
ATOMIC_POSITIONS crystal
Na 0.0000 0.5000 0.0000
K 0.0000 0.0000 0.0000
Tc 0.5000 0.5000 0.5000
Fe 0.0000 0.0000 0.5000
Fe 0.5000 0.0000 0.0000
```

Output
The calculation puts the uncorrected energy at -3.304 eV per atom. The space group is No. 123.


Below is crystalline SrBeW at its relaxed geometry, with properties calculated at the PBE-GGA level. Values from VASP.

Quantum ESPRESSO input file:
```
&SYSTEM
  ibrav = 0, nat = 3, ntyp = 3
/
ATOMIC_SPECIES
Sr 87.62 Sr.upf
W 183.84 W.upf
Be 9.01 Be.upf
CELL_PARAMETERS angstrom
4.5730 0.0000 0.0000
2.2865 3.9604 0.0000
2.2865 1.3201 3.7339
ATOMIC_POSITIONS crystal
Sr 0.0000 0.0000 0.0000
W 0.5000 0.5000 0.5000
Be 0.2500 0.2500 0.2500
```

Output
The calculation puts the uncorrected energy at -4.539 eV per atom. The space group is No. 216.